A | # AsC2Br, optimized geometry, DFT PBE
# Space-group type   I-42d (122)
# Crystal system   tetragonal
# Size of the total moment   0.000 μB/atom
data_AsC2Br
_space_group_name_H-M_alt 'P 1'
_space_group_IT_number 1
_cell_length_a 5.5054
_cell_length_b 5.5054
_cell_length_c 5.5561
_cell_angle_alpha 60.30
_cell_angle_beta 60.30
_cell_angle_gamma 90.00
loop_
_space_group_symop_operation_xyz
'x,y,z'
loop_
_atom_site_label
_atom_site_type_symbol
_atom_site_fract_x
_atom_site_fract_y
_atom_site_fract_z
Br1 Br 0.7500 0.2500 0.5000
Br2 Br 0.0000 0.0000 0.0000
C1 C 0.3750 0.4477 0.7500
C2 C 0.8750 0.8023 0.7500
As1 As 0.5000 0.5000 0.0000
As2 As 0.2500 0.7500 0.5000
C3 C 0.1977 0.6250 0.2500
C4 C 0.5523 0.1250 0.2500



B | # AsC2Br, optimized geometry, DFT PBE
# Space-group type   Fm-3m (225)
# Crystal system   cubic
# Size of the total moment   0.000 μB/atom
data_AsC2Br
_space_group_name_H-M_alt 'P 1'
_space_group_IT_number 1
_cell_length_a 4.2558
_cell_length_b 4.2558
_cell_length_c 4.2558
_cell_angle_alpha 60.00
_cell_angle_beta 60.00
_cell_angle_gamma 60.00
loop_
_space_group_symop_operation_xyz
'x,y,z'
loop_
_atom_site_label
_atom_site_type_symbol
_atom_site_fract_x
_atom_site_fract_y
_atom_site_fract_z
Br1 Br 0.5000 0.5000 0.5000
As1 As 0.0000 0.0000 0.0000
C1 C 0.7500 0.7500 0.7500
C2 C 0.2500 0.2500 0.2500



Which structure is most stable? A, by 89.5 kJ/mol of atoms over the runner-up.



A | # CaAsCBr2, optimized geometry, DFT PBE
# Space-group type   P4/mmm (123)
# Crystal system   tetragonal
# Size of the total moment   0.000 μB/atom
data_CaAsCBr2
_space_group_name_H-M_alt 'P 1'
_space_group_IT_number 1
_cell_length_a 4.9352
_cell_length_b 4.9352
_cell_length_c 4.4542
_cell_angle_alpha 90.00
_cell_angle_beta 90.00
_cell_angle_gamma 90.00
loop_
_space_group_symop_operation_xyz
'x,y,z'
loop_
_atom_site_label
_atom_site_type_symbol
_atom_site_fract_x
_atom_site_fract_y
_atom_site_fract_z
As1 As 0.0000 0.0000 0.5000
C1 C 0.0000 0.0000 0.0000
Ca1 Ca 0.5000 0.5000 0.5000
Br1 Br 0.0000 0.5000 0.0000
Br2 Br 0.5000 0.0000 0.0000



B | # CaAsCBr2, optimized geometry, DFT PBE
# Space-group type   P4/mmm (123)
# Crystal system   tetragonal
# Size of the total moment   0.817 μB/atom
data_CaAsCBr2
_space_group_name_H-M_alt 'P 1'
_space_group_IT_number 1
_cell_length_a 5.5561
_cell_length_b 5.5561
_cell_length_c 6.1607
_cell_angle_alpha 90.00
_cell_angle_beta 90.00
_cell_angle_gamma 90.00
loop_
_space_group_symop_operation_xyz
'x,y,z'
loop_
_atom_site_label
_atom_site_type_symbol
_atom_site_fract_x
_atom_site_fract_y
_atom_site_fract_z
Br1 Br 0.5000 0.0000 0.0000
C1 C 0.5000 0.5000 0.5000
Ca1 Ca 0.0000 0.0000 0.0000
Br2 Br 0.0000 0.5000 0.0000
As1 As 0.0000 0.0000 0.5000



Which structure is most stable? A, by 67.3 kJ/mol of atoms over the runner-up.



A | # CdAsCBr2, optimized geometry, DFT PBE
# Space-group type   P4/mmm (123)
# Crystal system   tetragonal
# Size of the total moment   0.025 μB/atom
data_CdAsCBr2
_space_group_name_H-M_alt 'P 1'
_space_group_IT_number 1
_cell_length_a 4.9066
_cell_length_b 4.9066
_cell_length_c 4.4109
_cell_angle_alpha 90.00
_cell_angle_beta 90.00
_cell_angle_gamma 90.00
loop_
_space_group_symop_operation_xyz
'x,y,z'
loop_
_atom_site_label
_atom_site_type_symbol
_atom_site_fract_x
_atom_site_fract_y
_atom_site_fract_z
C1 C 0.0000 0.0000 0.0000
As1 As 0.0000 0.0000 0.5000
Br1 Br 0.0000 0.5000 0.0000
Br2 Br 0.5000 0.0000 0.0000
Cd1 Cd 0.5000 0.5000 0.5000



B | # CdAsCBr2, optimized geometry, DFT PBE
# Space-group type   P4/mmm (123)
# Crystal system   tetragonal
# Size of the total moment   0.673 μB/atom
data_CdAsCBr2
_space_group_name_H-M_alt 'P 1'
_space_group_IT_number 1
_cell_length_a 5.4819
_cell_length_b 5.4819
_cell_length_c 5.4066
_cell_angle_alpha 90.00
_cell_angle_beta 90.00
_cell_angle_gamma 90.00
loop_
_space_group_symop_operation_xyz
'x,y,z'
loop_
_atom_site_label
_atom_site_type_symbol
_atom_site_fract_x
_atom_site_fract_y
_atom_site_fract_z
As1 As 0.0000 0.0000 0.5000
Br1 Br 0.5000 0.0000 0.0000
Cd1 Cd 0.0000 0.0000 0.0000
C1 C 0.5000 0.5000 0.5000
Br2 Br 0.0000 0.5000 0.0000



Which structure is most stable? A, by 62.1 kJ/mol of atoms over the runner-up.



A | # AsCBr2Cl, optimized geometry, DFT PBE
# Space-group type   P4/mmm (123)
# Crystal system   tetragonal
# Size of the total moment   0.494 μB/atom
data_AsCBr2Cl
_space_group_name_H-M_alt 'P 1'
_space_group_IT_number 1
_cell_length_a 5.2592
_cell_length_b 5.2592
_cell_length_c 5.1510
_cell_angle_alpha 90.00
_cell_angle_beta 90.00
_cell_angle_gamma 90.00
loop_
_space_group_symop_operation_xyz
'x,y,z'
loop_
_atom_site_label
_atom_site_type_symbol
_atom_site_fract_x
_atom_site_fract_y
_atom_site_fract_z
C1 C 0.5000 0.5000 0.5000
Br1 Br 0.5000 0.0000 0.0000
As1 As 0.0000 0.0000 0.5000
Br2 Br 0.0000 0.5000 0.0000
Cl1 Cl 0.0000 0.0000 0.0000



B | # AsCBr2Cl, optimized geometry, DFT PBE
# Space-group type   P4/mmm (123)
# Crystal system   tetragonal
# Size of the total moment   0.000 μB/atom
data_AsCBr2Cl
_space_group_name_H-M_alt 'P 1'
_space_group_IT_number 1
_cell_length_a 4.7300
_cell_length_b 4.7300
_cell_length_c 4.5060
_cell_angle_alpha 90.00
_cell_angle_beta 90.00
_cell_angle_gamma 90.00
loop_
_space_group_symop_operation_xyz
'x,y,z'
loop_
_atom_site_label
_atom_site_type_symbol
_atom_site_fract_x
_atom_site_fract_y
_atom_site_fract_z
C1 C 0.0000 0.0000 0.0000
Br1 Br 0.0000 0.5000 0.0000
As1 As 0.0000 0.0000 0.5000
Cl1 Cl 0.5000 0.5000 0.5000
Br2 Br 0.5000 0.0000 0.0000



Which structure is most stable? B, by 91.4 kJ/mol of atoms over the runner-up.



A | # As2CBrCl, optimized geometry, DFT PBE
# Space-group type   P4/mmm (123)
# Crystal system   tetragonal
# Size of the total moment   0.042 μB/atom
data_As2CBrCl
_space_group_name_H-M_alt 'P 1'
_space_group_IT_number 1
_cell_length_a 5.0886
_cell_length_b 5.0886
_cell_length_c 5.1147
_cell_angle_alpha 90.00
_cell_angle_beta 90.00
_cell_angle_gamma 90.00
loop_
_space_group_symop_operation_xyz
'x,y,z'
loop_
_atom_site_label
_atom_site_type_symbol
_atom_site_fract_x
_atom_site_fract_y
_atom_site_fract_z
As1 As 0.5000 0.0000 0.0000
Br1 Br 0.0000 0.0000 0.5000
As2 As 0.0000 0.5000 0.0000
Cl1 Cl 0.0000 0.0000 0.0000
C1 C 0.5000 0.5000 0.5000



B | # As2CBrCl, optimized geometry, DFT PBE
# Space-group type   P4/mmm (123)
# Crystal system   tetragonal
# Size of the total moment   0.000 μB/atom
data_As2CBrCl
_space_group_name_H-M_alt 'P 1'
_space_group_IT_number 1
_cell_length_a 4.5155
_cell_length_b 4.5155
_cell_length_c 4.7112
_cell_angle_alpha 90.00
_cell_angle_beta 90.00
_cell_angle_gamma 90.00
loop_
_space_group_symop_operation_xyz
'x,y,z'
loop_
_atom_site_label
_atom_site_type_symbol
_atom_site_fract_x
_atom_site_fract_y
_atom_site_fract_z
As1 As 0.5000 0.0000 0.0000
As2 As 0.0000 0.5000 0.0000
Br1 Br 0.0000 0.0000 0.5000
Cl1 Cl 0.5000 0.5000 0.5000
C1 C 0.0000 0.0000 0.0000



Which structure is most stable? B, by 108.2 kJ/mol of atoms over the runner-up.



A | # CoAsCBr2, optimized geometry, DFT PBE
# Space-group type   P4/mmm (123)
# Crystal system   tetragonal
# Size of the total moment   0.237 μB/atom
data_CoAsCBr2
_space_group_name_H-M_alt 'P 1'
_space_group_IT_number 1
_cell_length_a 4.9830
_cell_length_b 4.9830
_cell_length_c 4.4156
_cell_angle_alpha 90.00
_cell_angle_beta 90.00
_cell_angle_gamma 90.00
loop_
_space_group_symop_operation_xyz
'x,y,z'
loop_
_atom_site_label
_atom_site_type_symbol
_atom_site_fract_x
_atom_site_fract_y
_atom_site_fract_z
Co1 Co 0.0000 0.0000 0.0000
As1 As 0.0000 0.0000 0.5000
Br1 Br 0.5000 0.0000 0.0000
Br2 Br 0.0000 0.5000 0.0000
C1 C 0.5000 0.5000 0.5000



B | # CoAsCBr2, optimized geometry, DFT PBE
# Space-group type   P4/mmm (123)
# Crystal system   tetragonal
# Size of the total moment   0.481 μB/atom
data_CoAsCBr2
_space_group_name_H-M_alt 'P 1'
_space_group_IT_number 1
_cell_length_a 4.7008
_cell_length_b 4.7008
_cell_length_c 4.2886
_cell_angle_alpha 90.00
_cell_angle_beta 90.00
_cell_angle_gamma 90.00
loop_
_space_group_symop_operation_xyz
'x,y,z'
loop_
_atom_site_label
_atom_site_type_symbol
_atom_site_fract_x
_atom_site_fract_y
_atom_site_fract_z
Co1 Co 0.5000 0.5000 0.5000
Br1 Br 0.5000 0.0000 0.0000
Br2 Br 0.0000 0.5000 0.0000
As1 As 0.0000 0.0000 0.5000
C1 C 0.0000 0.0000 0.0000



Which structure is most stable? B, by 1.4 kJ/mol of atoms over the runner-up.